Here is a relaxed structure of Y4FeAg from the Alexandria database. Energies are from PBE.

E_form (meV per atom): -101

The structure in POSCAR format:
```
Y4FeAg
1.0
4.252 -6.179 0.000
4.252 6.179 0.000
-1.622 0.000 5.917
Y Fe Ag
8 2 2
Direct
0.064 0.732 0.962 Y
0.209 0.370 0.592 Y
0.268 0.936 0.538 Y
0.370 0.209 0.092 Y
0.630 0.791 0.908 Y
0.732 0.064 0.462 Y
0.791 0.630 0.408 Y
0.936 0.268 0.038 Y
0.002 0.998 0.750 Fe
0.998 0.002 0.250 Fe
0.371 0.629 0.250 Ag
0.629 0.371 0.750 Ag
```